A plane-wave DFT calculation with PBE was carried out for a geometry-optimized Sb3C2 structure.

Lattice parameters (Å, degrees): 3.679 3.679 8.688 90.00 90.00 120.00
Fractional positions:
Sb 0.667 0.333 0.670
Sb 0.333 0.667 0.330
Sb 0.000 0.000 0.000
C 0.667 0.333 0.401
C 0.333 0.667 0.599

As for the formation energy from raw total energies: 1.269 eV/atom. The calculation puts the offset from the most stable computed form at 195.9 meV per atom.